The following is a DFT calculation (GGA-PBE) of a geometry-optimized AlBOs structure.

Structure (extended XYZ):
```
3
Lattice="3.699 0.000 0.000 -1.850 3.204 0.000 0.000 0.000 3.114" Properties=species:S:1:pos:R:3 pbc="T T T"
Al 0.000 0.000 0.000
B 0.000 2.136 1.557
Os 1.850 1.068 1.557
```



The following is a DFT calculation (GGA-PBE) of a geometry-optimized Li2PbI4 structure.

Structure (extended XYZ):
```
7
Lattice="-3.177 3.177 7.613 3.177 -3.177 7.613 3.177 3.177 -7.613" Properties=species:S:1:pos:R:3 pbc="T T T"
Li 0.000 0.000 1.882
Li 0.000 0.000 13.344
Pb 0.000 0.000 7.613
I 3.177 0.000 0.000
I 0.000 0.000 4.462
I 0.000 3.177 0.000
I 0.000 0.000 10.764
```



The following is a DFT calculation (GGA-PBE) of a geometry-optimized VBi2S4 structure.

Structure (extended XYZ):
```
7
Lattice="-2.299 2.299 7.312 2.299 -2.299 7.312 2.299 2.299 -7.312" Properties=species:S:1:pos:R:3 pbc="T T T"
V 0.000 0.000 0.000
Bi 0.000 0.000 5.242
Bi 0.000 0.000 9.381
S 2.299 0.000 0.000
S 0.000 0.000 2.516
S 0.000 2.299 0.000
S 0.000 0.000 12.108
```



Number 1: uncorrected energy -7.34 eV/atom, D(E_F) 0.324 states/eV per atom. Number 2: uncorrected energy -2.68 eV/atom, D(E_F) 0.000 states/eV per atom. Number 3: uncorrected energy -5.00 eV/atom, D(E_F) 0.725 states/eV per atom.